The following is a DFT calculation (SCAN) of a crystal of Os3ClF relaxed with PBEsol.

Unit cell a=4.264 b=4.264 c=4.264 alpha=90.00 beta=90.00 gamma=90.00
Site moments in Bohr magnetons follow the coordinates.
Sites, in units of the cell vectors:
F 0.000 0.000 0.000  0.13
Os 0.000 0.500 0.000  1.61
Os 0.000 0.000 0.500  1.61
Os 0.500 0.000 0.000  1.61
Cl 0.500 0.500 0.500  0.43

Summary:
E_tot = -214.4 eV/cell
Space-group type = Pm-3m



The following is a DFT calculation (SCAN) of a crystal of BiRhO2 relaxed with PBEsol.

Unit cell a=3.226 b=3.226 c=6.803 alpha=76.28 beta=76.28 gamma=60.00
Sites, in units of the cell vectors:
Rh 0.500 0.500 0.500
Bi 0.000 0.000 0.000
O 0.879 0.879 0.363
O 0.121 0.121 0.637

Summary:
E_tot = -127.9 eV/cell
Space-group type = R-3m



The following is a DFT calculation (SCAN) of a crystal of AgMoP2 relaxed with PBEsol.

Unit cell a=4.378 b=4.378 c=4.378 alpha=60.00 beta=60.00 gamma=60.00
Site moments in Bohr magnetons follow the coordinates.
Sites, in units of the cell vectors:
Ag 0.500 0.500 0.500  0.03
Mo 0.250 0.250 0.250  0.85
P 0.000 0.000 0.000  -0.07
P 0.750 0.750 0.750  -0.02

Summary:
Space-group type = F-43m
ΔH_f (0 K) = 0.815 eV per atom



The following is a DFT calculation (SCAN) of a crystal of CsHgBr3 relaxed with PBEsol.

Unit cell a=5.537 b=5.537 c=5.537 alpha=90.00 beta=90.00 gamma=90.00
Sites, in units of the cell vectors:
Cs 0.000 0.000 0.000
Hg 0.500 0.500 0.500
Br 0.000 0.500 0.500
Br 0.500 0.000 0.500
Br 0.500 0.500 0.000

Summary:
E_tot = -169.8 eV/cell
Space-group type = Pm-3m



Q: Which spin magnetization values were calculated for the entries above? A: 6.1 0.0 0.8 0.0, in μB per cell.
Q: Which D(E_F) values were calculated for the entries above? A: 6.13 0.49 1.85 1.10, in states/eV per cell.